# Ca2GePdAu6

A geometry-optimized Ca2GePdAu6 structure (PBE-GGA, Alexandria).

Computed properties:
- density of states at the Fermi level (states/eV per atom) = 0.3906
- ΔH_f (0 K) (eV per formula unit) = -4.0

a b c (Å): 5.4682 6.6661 7.2538
angles (deg): 81.76 67.98 65.95
Space group P-1 (No. 2)
Unique sites:
1 Ca 0.0230 0.2613 0.1961 x2
2 Ge 0.5000 0.0000 0.5000 x1
3 Pd 0.5000 0.5000 0.0000 x1
4 Au 0.0102 0.2081 0.7667 x2
5 Au 0.3475 0.4139 0.4015 x2
6 Au 0.4857 0.7957 0.2297 x2



# CaGePdAu

A geometry-optimized CaGePdAu structure (PBE-GGA, Alexandria).

Computed properties:
- density of states at the Fermi level (states/eV per atom) = 0.4646
- E above lowest polymorph (meV per atom) = 184
- ΔH_f (0 K) (eV per formula unit) = -1.9

a b c (Å): 6.7581 6.7581 6.7581
angles (deg): 90.00 90.00 90.00
Space group F-43m (No. 216)
Unique sites:
1 Ca 0.0000 0.0000 0.0000 x4
2 Ge 0.0000 0.0000 0.5000 x4
3 Pd 0.2500 0.2500 0.2500 x4
4 Au 0.2500 0.2500 0.7500 x4



# Ca2PmGe3Au12

A geometry-optimized Ca2PmGe3Au12 structure (PBE-GGA, Alexandria).

Computed properties:
- density of states at the Fermi level (states/eV per atom) = 0.2791
- ΔH_f (0 K) (eV per formula unit) = -2.9

a b c (Å): 9.1962 9.1962 17.7152
angles (deg): 90.00 90.00 120.00
Space group R-3m (No. 166, hexagonal axes)
Unique sites:
1 Ca 0.0000 0.0000 0.0948 x6
2 Pm 0.0000 0.0000 0.5000 x3
3 Ge 0.0000 0.5000 0.0000 x9
4 Au 0.0174 0.5087 0.3156 x18
5 Au 0.0343 0.5172 0.8555 x18



# CaPmGeAu

A geometry-optimized CaPmGeAu structure (PBE-GGA, Alexandria).

Computed properties:
- density of states at the Fermi level (states/eV per atom) = 0.3462
- ΔH_f (0 K) (eV per formula unit) = -3.0

a b c (Å): 7.3185 7.3185 7.3185
angles (deg): 90.00 90.00 90.00
Space group F-43m (No. 216)
Unique sites:
1 Ca 0.0000 0.0000 0.0000 x4
2 Pm 0.0000 0.0000 0.5000 x4
3 Ge 0.2500 0.2500 0.2500 x4
4 Au 0.2500 0.2500 0.7500 x4



# CaPrGeAu

A geometry-optimized CaPrGeAu structure (PBE-GGA, Alexandria).

Computed properties:
- density of states at the Fermi level (states/eV per atom) = 0.3682
- ΔH_f (0 K) (eV per formula unit) = -3.0

a b c (Å): 7.3829 7.3829 7.3829
angles (deg): 90.00 90.00 90.00
Space group F-43m (No. 216)
Unique sites:
1 Ca 0.0000 0.0000 0.0000 x4
2 Pr 0.0000 0.0000 0.5000 x4
3 Ge 0.2500 0.2500 0.7500 x4
4 Au 0.2500 0.2500 0.2500 x4



# Ca2Ge4PtAu3

A geometry-optimized Ca2Ge4PtAu3 structure (PBE-GGA, Alexandria).

Computed properties:
- density of states at the Fermi level (states/eV per atom) = 0.4573
- ΔH_f (0 K) (eV per formula unit) = -5.0

a b c (Å): 4.3591 4.3591 10.9540
angles (deg): 90.00 90.00 90.00
Space group P-4m2 (No. 115)
Unique sites:
1 Ca 0.0000 0.5000 0.2367 x2
2 Ge 0.0000 0.0000 0.5000 x1
3 Ge 0.0000 0.5000 0.8736 x2
4 Ge 0.5000 0.5000 0.5000 x1
5 Pt 0.5000 0.5000 0.0000 x1
6 Au 0.0000 0.0000 0.0000 x1
7 Au 0.0000 0.5000 0.6440 x2



# CaGe2Pt5Au

A geometry-optimized CaGe2Pt5Au structure (PBE-GGA, Alexandria).

Computed properties:
- density of states at the Fermi level (states/eV per atom) = 0.4984
- ΔH_f (0 K) (eV per formula unit) = -1.4

a b c (Å): 4.6993 4.6993 8.6736
angles (deg): 90.00 90.00 90.00
Space group P4/mmm (No. 123)
Unique sites:
1 Ca 0.0000 0.0000 0.0000 x1
2 Ge 0.5000 0.5000 0.2727 x2
3 Pt 0.0000 0.5000 0.3369 x4
4 Pt 0.5000 0.5000 0.0000 x1
5 Au 0.0000 0.0000 0.5000 x1



# Ca2GePtAu

A geometry-optimized Ca2GePtAu structure (PBE-GGA, Alexandria).

Computed properties:
- density of states at the Fermi level (states/eV per atom) = 0.8533
- ΔH_f (0 K) (eV per formula unit) = 0.1

a b c (Å): 5.4605 5.4605 5.0207
angles (deg): 90.00 90.00 90.00
Space group P4/mmm (No. 123)
Unique sites:
1 Ca 0.0000 0.5000 0.0000 x2
2 Ge 0.0000 0.0000 0.5000 x1
3 Pt 0.5000 0.5000 0.5000 x1
4 Au 0.5000 0.5000 0.0000 x1



# Ca2Ge4Pt3Au

A geometry-optimized Ca2Ge4Pt3Au structure (PBE-GGA, Alexandria).

Computed properties:
- density of states at the Fermi level (states/eV per atom) = 0.3489
- ΔH_f (0 K) (eV per formula unit) = -7.1

a b c (Å): 4.3966 4.3966 10.2076
angles (deg): 90.00 90.00 90.00
Space group P-4m2 (No. 115)
Unique sites:
1 Ca 0.0000 0.5000 0.2471 x2
2 Ge 0.0000 0.0000 0.0000 x1
3 Ge 0.0000 0.5000 0.6341 x2
4 Ge 0.5000 0.5000 0.0000 x1
5 Pt 0.0000 0.5000 0.8762 x2
6 Pt 0.5000 0.5000 0.5000 x1
7 Au 0.0000 0.0000 0.5000 x1



# Ca2PuGe3Au12

A geometry-optimized Ca2PuGe3Au12 structure (PBE-GGA, Alexandria).

Computed properties:
- density of states at the Fermi level (states/eV per atom) = 1.2555
- ΔH_f (0 K) (eV per formula unit) = -1.7

a b c (Å): 9.2436 9.2436 17.5092
angles (deg): 90.00 90.00 120.00
Space group R-3m (No. 166, hexagonal axes)
Unique sites:
1 Ca 0.0000 0.0000 0.0954 x6
2 Pu 0.0000 0.0000 0.5000 x3
3 Ge 0.0000 0.5000 0.0000 x9
4 Au 0.0172 0.5086 0.3157 x18
5 Au 0.0341 0.5171 0.8543 x18



# CaRe2GeAu

A geometry-optimized CaRe2GeAu structure (PBE-GGA, Alexandria).

Computed properties:
- density of states at the Fermi level (states/eV per atom) = 1.0510
- ΔH_f (0 K) (eV per formula unit) = 8.8

a b c (Å): 5.1098 5.1098 4.7685
angles (deg): 90.00 90.00 90.00
Space group P4/mmm (No. 123)
Unique sites:
1 Ca 0.0000 0.0000 0.0000 x1
2 Re 0.0000 0.5000 0.5000 x2
3 Ge 0.5000 0.5000 0.0000 x1
4 Au 0.5000 0.5000 0.5000 x1



# Ca2Ge4Rh3Au

A geometry-optimized Ca2Ge4Rh3Au structure (PBE-GGA, Alexandria).

Computed properties:
- density of states at the Fermi level (states/eV per atom) = 0.7912
- ΔH_f (0 K) (eV per formula unit) = -6.2

a b c (Å): 4.2918 4.2918 10.2793
angles (deg): 90.00 90.00 90.00
Space group P-4m2 (No. 115)
Unique sites:
1 Ca 0.0000 0.5000 0.2438 x2
2 Ge 0.0000 0.0000 0.0000 x1
3 Ge 0.0000 0.5000 0.6389 x2
4 Ge 0.5000 0.5000 0.0000 x1
5 Rh 0.0000 0.5000 0.8763 x2
6 Rh 0.5000 0.5000 0.5000 x1
7 Au 0.0000 0.0000 0.5000 x1